Material: LiPrSmEu
Method: DFT, PBE-GGA
State: relaxed

Lattice parameters (Å, degrees): 8.1224 8.1224 8.1224 90.00 90.00 90.00
Space group F-43m (No. 216)
Asymmetric unit:
Li: 0.0000 0.0000 0.0000 (multiplicity 4)
Pr: 0.2500 0.2500 0.7500 (multiplicity 4)
Sm: 0.0000 0.0000 0.5000 (multiplicity 4)
Eu: 0.2500 0.2500 0.2500 (multiplicity 4)

Properties
The value obtained for the spin magnetization is 7.2 μB/f.u. Its total energy is -5.21 eV per atom.